# 1
DyScGa2Ir4 | OQMD via LeMat-Bulk | GGA-PBE | optimized geometry; E_tot = -7.147 eV per atom; space-group type = No. 187
1.0
-3.524 -0.748 2.345
3.865 0.044 1.882
-0.834 8.666 1.511
Dy Ga Ir Sc
1 2 4 1
Cartesian
0.000 0.000 0.000
1.184 2.044 2.431
0.785 6.182 3.153
-0.292 3.034 0.529
-1.210 1.061 2.460
-0.542 5.632 0.982
-1.747 6.637 3.432
-1.478 3.849 2.946



# 2
LuMgCuB | OQMD via LeMat-Bulk | GGA-PBE | optimized geometry; E_tot = -3.721 eV per atom; space-group type = No. 216
1.0
-1.973 -3.928 -0.168
-0.063 -2.583 3.560
-3.769 -0.663 2.170
Cu Mg B Lu
1 1 1 1
Cartesian
-4.354 -5.381 4.172
-2.903 -3.587 2.781
0.000 0.000 0.000
-1.451 -1.794 1.391



# 3
PrYNO | OQMD via LeMat-Bulk | GGA-PBE | optimized geometry; E_tot = -8.238 eV per atom; space-group type = No. 26
1.0
-2.344 -3.335 0.240
0.177 -0.483 -4.991
5.788 -4.025 0.595
N O Y Pr
2 2 2 2
Cartesian
3.867 -2.847 -1.797
2.164 -1.843 -4.476
3.662 -5.368 -4.087
0.025 -2.658 -1.957
2.019 -1.562 -1.988
4.012 -3.128 -4.287
-0.054 -2.783 -4.467
3.741 -5.243 -1.572



# 4
PmBAsO | OQMD via LeMat-Bulk | GGA-PBE | optimized geometry; E_tot = -6.485 eV per atom; space-group type = No. 26
1.0
-2.582 -2.701 -1.682
2.753 -4.575 3.120
-3.838 0.815 4.582
O Pm As B
2 2 2 2
Cartesian
-3.257 -3.279 5.271
-1.821 -2.883 2.432
-1.015 -0.783 2.814
-1.558 -2.662 6.664
-2.983 -0.285 5.036
0.421 -3.162 4.429
-1.220 -3.882 3.114
-3.858 -2.280 4.591



# 5
TbErInNi2 | OQMD via LeMat-Bulk | GGA-PBE | optimized geometry; E_tot = -5.157 eV per atom; space-group type = No. 38
1.0
3.659 0.000 0.000
0.000 1.947 7.138
0.000 -1.947 7.138
Ni Tb In Er
2 1 1 1
Cartesian
0.000 0.000 2.864
0.000 0.000 11.445
1.830 0.000 9.112
0.000 0.000 14.256
1.830 0.000 5.152



# 6
Li2Ni | OQMD via LeMat-Bulk | GGA-PBE | optimized geometry; E_tot = -2.737 eV per atom; space-group type = No. 225
1.0
0.000 2.826 2.826
2.826 0.000 2.826
2.826 2.826 0.000
Li Ni
2 1
Cartesian
4.239 4.239 4.239
1.413 1.413 1.413
0.000 0.000 0.000



# 7
HfAgHgAu | OQMD via LeMat-Bulk | GGA-PBE | optimized geometry; E_tot = -4.250 eV per atom; space-group type = No. 216
1.0
-3.225 -2.275 2.686
-3.908 2.297 1.496
-4.268 -1.113 -1.825
Hf Au Hg Ag
1 1 1 1
Cartesian
-5.701 -0.546 1.178
-8.551 -0.818 1.767
-2.850 -0.273 0.589
0.000 0.000 0.000



# 8
TcBOs | OQMD via LeMat-Bulk | GGA-PBE | optimized geometry; E_tot = -8.789 eV per atom; space-group type = No. 216
1.0
3.644 -0.089 1.482
0.659 1.232 3.679
0.918 -2.598 2.810
Os Tc B
1 1 1
Cartesian
0.000 0.000 0.000
3.916 -1.092 5.979
1.305 -0.364 1.993



# 9
Tb2TmP3 | OQMD via LeMat-Bulk | GGA-PBE | optimized geometry; E_tot = -6.602 eV per atom; space-group type = No. 164
1.0
4.000 0.000 0.000
-2.000 3.464 0.000
0.000 0.000 9.793
Tb Tm P
2 1 3
Cartesian
0.000 2.309 8.141
2.000 1.155 1.652
0.000 0.000 4.896
0.000 0.000 0.000
0.000 2.309 3.307
2.000 1.155 6.486



# 10
Ta4CuB3 | OQMD via LeMat-Bulk | GGA-PBE | optimized geometry; E_tot = -9.290 eV per atom; space-group type = No. 194
1.0
-0.847 -1.328 2.834
-0.309 -1.700 -2.744
21.883 -8.282 2.662
Ta B Cu
8 6 2
Cartesian
11.480 -6.050 2.452
7.327 -2.773 0.891
18.268 -6.914 2.222
3.614 -1.368 0.440
20.008 -9.278 3.490
9.246 -5.260 0.299
0.718 -2.032 -0.738
14.555 -5.509 1.771
7.782 -4.650 2.003
0.000 0.000 0.000
18.903 -8.915 1.474
1.823 -2.395 1.278
10.941 -4.141 1.331
12.943 -6.660 0.749
4.982 -3.646 -0.219
15.744 -7.664 2.971



# 11
HoTmIn3Si2 | OQMD via LeMat-Bulk | GGA-PBE | optimized geometry; E_tot = -4.410 eV per atom; space-group type = No. 8
1.0
0.057 3.802 -4.246
-3.474 4.103 -1.892
3.503 3.663 4.785
In Ho Si Tm
3 1 2 1
Cartesian
-1.668 9.730 -3.747
1.239 4.787 1.245
-1.156 6.781 -2.602
0.795 7.956 0.174
0.092 1.173 -0.012
0.000 10.405 -1.332
-0.711 3.608 -1.528



# 12
Pr2TmIn3AgPd2 | OQMD via LeMat-Bulk | GGA-PBE | optimized geometry; E_tot = -4.595 eV per atom; space-group type = No. 38
1.0
-3.797 -0.561 0.680
0.860 -7.673 -1.522
0.923 2.658 7.350
In Pd Pr Ag Tm
3 2 2 1 1
Cartesian
-0.594 -3.950 4.604
-1.664 -2.305 -0.021
-1.648 0.381 2.286
-1.002 -1.115 4.662
-1.022 -4.433 1.813
1.430 -1.866 6.451
1.404 -6.105 2.811
0.005 -0.014 0.017
0.731 -2.056 2.389